Record 1
# PBE PmNd3Y6, optimized geometry
# **Mass density**: 5.45 g/cm³
# **E above lowest polymorph**: 121 meV per atom
# **Total energy**: -5.523 eV/atom
# **Energy of formation from the pure elements**: 0.261 eV/atom
data_PmNd3Y6
_space_group_name_H-M_alt 'P 1'
_space_group_IT_number 1
_cell_length_a 6.974
_cell_length_b 6.974
_cell_length_c 6.974
_cell_angle_alpha 91.74
_cell_angle_beta 91.74
_cell_angle_gamma 91.74
loop_
_space_group_symop_operation_xyz
'x,y,z'
loop_
_atom_site_label
_atom_site_fract_x
_atom_site_fract_y
_atom_site_fract_z
Pm1 0.000 0.000 0.000
Nd1 0.249 0.249 0.249
Nd2 0.500 0.500 0.500
Nd3 0.750 0.750 0.750
Y1 0.074 0.748 0.421
Y2 0.247 0.575 0.921
Y3 0.421 0.074 0.748
Y4 0.575 0.921 0.247
Y5 0.748 0.421 0.074
Y6 0.921 0.247 0.575

Record 2
# PBE Pm5NdY3, optimized geometry
# **Mass density**: 6.12 g/cm³
# **E above lowest polymorph**: 0 meV per atom
# **Total energy**: -5.160 eV/atom
# **Energy of formation from the pure elements**: 0.163 eV/atom
data_Pm5NdY3
_space_group_name_H-M_alt 'P 1'
_space_group_IT_number 1
_cell_length_a 8.904
_cell_length_b 8.904
_cell_length_c 11.681
_cell_angle_alpha 108.34
_cell_angle_beta 108.34
_cell_angle_gamma 45.05
loop_
_space_group_symop_operation_xyz
'x,y,z'
loop_
_atom_site_label
_atom_site_fract_x
_atom_site_fract_y
_atom_site_fract_z
Pm1 0.106 0.115 0.549
Pm2 0.115 0.106 0.049
Pm3 0.183 0.817 0.750
Pm4 0.234 0.423 0.648
Pm5 0.423 0.234 0.148
Pm6 0.577 0.766 0.852
Pm7 0.766 0.577 0.352
Pm8 0.817 0.183 0.250
Pm9 0.885 0.894 0.951
Pm10 0.894 0.885 0.451
Nd1 0.261 0.739 0.250
Nd2 0.739 0.261 0.750
Y1 0.139 0.342 0.869
Y2 0.342 0.139 0.369
Y3 0.500 0.500 0.000
Y4 0.500 0.500 0.500
Y5 0.658 0.861 0.631
Y6 0.861 0.658 0.131